Compound: PrDy8Th6
Source: Alexandria
Functional: GGA-PBE
Structure: relaxed

Cell lengths 8.8566, 8.8566, 21.3720 Å; angles 90.00, 90.00, 120.00 degrees
Space group R-3 (No. 148, hexagonal axes)
One atom of each set of equivalent atoms:
1 Pr 0.0000 0.0000 0.0000 (multiplicity 3)
2 Dy 0.0000 0.0000 0.4199 (multiplicity 6)
3 Dy 0.0603 0.8050 0.1338 (multiplicity 18)
4 Th 0.0228 0.2425 0.7087 (multiplicity 18)

Crystal system ... trigonal
Total moment ... 0.000 μB per atom
VASP energy ... -5.579 eV/atom


Compound: MgHg2P
Source: Alexandria
Functional: GGA-PBE
Structure: relaxed

Cell lengths 3.845, 3.667, 6.759 Å; angles 90.00, 106.15, 90.00 degrees
Space group Pm (No. 6)
One atom of each set of equivalent atoms:
1 Mg 0.000 0.000 0.000 (multiplicity 1)
2 Hg 0.308 0.000 0.619 (multiplicity 1)
3 Hg 0.694 0.500 0.389 (multiplicity 1)
4 P 0.494 0.500 0.985 (multiplicity 1)

Crystal system ... monoclinic
Total moment ... 0.000 μB per atom
VASP energy ... -1.958 eV/atom


Compound: SrTl2CuHg
Source: Alexandria
Functional: GGA-PBE
Structure: relaxed

Cell lengths 5.281, 5.281, 5.176 Å; angles 90.00, 90.00, 90.00 degrees
Space group P4/mmm (No. 123)
One atom of each set of equivalent atoms:
1 Sr 0.000 0.000 0.000 (multiplicity 1)
2 Tl 0.000 0.500 0.500 (multiplicity 2)
3 Cu 0.500 0.500 0.500 (multiplicity 1)
4 Hg 0.500 0.500 0.000 (multiplicity 1)

Crystal system ... tetragonal
Total moment ... 0.000 μB per atom
VASP energy ... -2.235 eV/atom


Compound: K2In3Ga4Ge
Source: Alexandria
Functional: GGA-PBE
Structure: relaxed

Cell lengths 4.688, 4.688, 11.838 Å; angles 90.00, 90.00, 90.00 degrees
Space group P-4m2 (No. 115)
One atom of each set of equivalent atoms:
1 K 0.000 0.500 0.245 (multiplicity 2)
2 In 0.000 0.000 0.000 (multiplicity 1)
3 In 0.000 0.500 0.637 (multiplicity 2)
4 Ga 0.000 0.000 0.500 (multiplicity 1)
5 Ga 0.000 0.500 0.870 (multiplicity 2)
6 Ga 0.500 0.500 0.500 (multiplicity 1)
7 Ge 0.500 0.500 0.000 (multiplicity 1)

Crystal system ... tetragonal
Total moment ... 0.000 μB per atom
VASP energy ... -2.818 eV/atom


Compound: KTi2N
Source: Alexandria
Functional: GGA-PBE
Structure: relaxed

Cell lengths 6.496, 6.496, 9.179 Å; angles 90.00, 90.00, 90.00 degrees
Space group I4_1/amd (No. 141, origin choice 2)
One atom of each set of equivalent atoms:
1 K 0.000 0.250 0.375 (multiplicity 4)
2 Ti 0.000 0.000 0.000 (multiplicity 8)
3 N 0.000 0.250 0.875 (multiplicity 4)

Crystal system ... tetragonal
Total moment ... 0.886 μB per atom
Raw formation energy ... -7.5 kJ per mole of atoms


Compound: Er4In3Ni
Source: Alexandria
Functional: GGA-PBE
Structure: relaxed

Cell lengths 3.461, 3.461, 16.135 Å; angles 90.00, 90.00, 90.00 degrees
Space group P4/mmm (No. 123)
One atom of each set of equivalent atoms:
1 Er 0.000 0.000 0.099 (multiplicity 2)
2 Er 0.000 0.000 0.367 (multiplicity 2)
3 In 0.500 0.500 0.234 (multiplicity 2)
4 In 0.500 0.500 0.500 (multiplicity 1)
5 Ni 0.500 0.500 0.000 (multiplicity 1)

Crystal system ... tetragonal
Total moment ... 0.032 μB per atom
VASP energy ... -4.477 eV/atom


Compound: UBeSi
Source: Alexandria
Functional: GGA-PBE
Structure: relaxed

Cell lengths 3.655, 7.088, 7.052 Å; angles 90.00, 90.00, 90.00 degrees
Space group Imm2 (No. 44)
One atom of each set of equivalent atoms:
1 U 0.000 0.000 0.000 (multiplicity 2)
2 U 0.000 0.500 0.242 (multiplicity 2)
3 Be 0.000 0.335 0.778 (multiplicity 4)
4 Si 0.000 0.178 0.472 (multiplicity 4)

Crystal system ... orthorhombic
Total moment ... 0.000 μB per atom
Raw formation energy ... -18.6 kJ per mole of atoms


Compound: Sc8PbS4
Source: Alexandria
Functional: GGA-PBE
Structure: relaxed

Cell lengths 17.278, 3.634, 12.194 Å; angles 90.00, 134.55, 90.00 degrees
Space group C2/m (No. 12)
One atom of each set of equivalent atoms:
1 Sc 0.045 0.000 0.201 (multiplicity 4)
2 Sc 0.135 0.500 0.804 (multiplicity 4)
3 Sc 0.149 0.500 0.104 (multiplicity 4)
4 Sc 0.172 0.500 0.540 (multiplicity 4)
5 Pb 0.000 0.000 0.500 (multiplicity 2)
6 S 0.155 0.000 0.968 (multiplicity 4)
7 S 0.186 0.500 0.342 (multiplicity 4)

Crystal system ... monoclinic
Total moment ... 0.000 μB per atom
Raw formation energy ... -114.8 kJ per mole of atoms